Computed, not measured: a relaxed Ho3CdCu crystal at the PBE-GGA level of DFT.

Structure (CIF):
```
data_Ho3CdCu
_chemical_formula_sum 'Ho12 Cd4 Cu4'
_cell_length_a 9.850
_cell_length_b 15.288
_cell_length_c 3.683
_cell_angle_alpha 90.00
_cell_angle_beta 90.00
_cell_angle_gamma 90.00
_symmetry_space_group_name_H-M 'C 1 m 1'
_symmetry_Int_Tables_number 8
_symmetry_space_group_name_Hall 'C -2y'
loop_
_atom_site_label
_atom_site_type_symbol
_atom_site_fract_x
_atom_site_fract_y
_atom_site_fract_z
_atom_site_occupancy
Ho1 Ho 0.000 0.115 0.000 1
Ho2 Ho 0.097 0.385 0.000 1
Ho3 Ho 0.299 0.175 0.501 1
Cd1 Cd 0.298 0.000 0.001 1
Cd2 Cd 0.299 0.500 0.500 1
Cu1 Cu 0.049 0.250 0.500 1
```

The value obtained for the formation energy from the elements is -0.020 eV/atom. The total energy comes out at -18.85 eV per formula unit. The calculation puts the total moment at 0.000 μB per atom.

Computed, not measured: a relaxed Ho3CdCu8 crystal at the PBE-GGA level of DFT.

Structure (CIF):
```
data_Ho3CdCu8
_chemical_formula_sum 'Ho9 Cd3 Cu24'
_cell_length_a 5.1699
_cell_length_b 5.1699
_cell_length_c 25.3967
_cell_angle_alpha 90.00
_cell_angle_beta 90.00
_cell_angle_gamma 120.00
_symmetry_space_group_name_H-M 'R 3 m'
_symmetry_Int_Tables_number 160
_symmetry_space_group_name_Hall 'R 3 -2"'
loop_
_atom_site_label
_atom_site_type_symbol
_atom_site_fract_x
_atom_site_fract_y
_atom_site_fract_z
_atom_site_occupancy
Ho1 Ho 0.0000 0.0000 0.0000 1
Ho2 Ho 0.0000 0.0000 0.1264 1
Ho3 Ho 0.0000 0.0000 0.5110 1
Cd1 Cd 0.0000 0.0000 0.6334 1
Cu1 Cu 0.0000 0.0000 0.3170 1
Cu2 Cu 0.0000 0.0000 0.8184 1
Cu3 Cu 0.0007 0.5004 0.0678 1
Cu4 Cu 0.1698 0.3395 0.9008 1
```

The value obtained for the formation energy from the elements is -0.212 eV/atom. Its energy above the most stable polymorph in this dataset is 11 meV per atom. The total energy comes out at -49.96 eV per formula unit. The calculation puts the total moment at 0.000 μB per atom.

Computed, not measured: a relaxed HoCd8Cu4 crystal at the PBE-GGA level of DFT.

Structure (CIF):
```
data_HoCd8Cu4
_chemical_formula_sum 'Ho2 Cd16 Cu8'
_cell_length_a 9.596
_cell_length_b 9.596
_cell_length_c 5.361
_cell_angle_alpha 90.00
_cell_angle_beta 90.00
_cell_angle_gamma 90.00
_symmetry_space_group_name_H-M 'I 4/m m m'
_symmetry_Int_Tables_number 139
_symmetry_space_group_name_Hall '-I 4 2'
loop_
_atom_site_label
_atom_site_type_symbol
_atom_site_fract_x
_atom_site_fract_y
_atom_site_fract_z
_atom_site_occupancy
Ho1 Ho 0.000 0.000 0.000 1
Cd1 Cd 0.000 0.215 0.500 1
Cd2 Cd 0.000 0.339 0.000 1
Cu1 Cu 0.250 0.250 0.250 1
```

The value obtained for the formation energy from the elements is -0.076 eV/atom. The total energy comes out at -29.28 eV per formula unit. The calculation puts the total moment at 0.000 μB per atom.

Computed, not measured: a relaxed Ho2Cd2Cu15 crystal at the PBE-GGA level of DFT.

Structure (CIF):
```
data_Ho2Cd2Cu15
_chemical_formula_sum 'Ho6 Cd6 Cu45'
_cell_length_a 8.7304
_cell_length_b 8.7304
_cell_length_c 12.7062
_cell_angle_alpha 90.00
_cell_angle_beta 90.00
_cell_angle_gamma 120.00
_symmetry_space_group_name_H-M 'R -3 m'
_symmetry_Int_Tables_number 166
_symmetry_space_group_name_Hall '-R 3 2"'
loop_
_atom_site_label
_atom_site_type_symbol
_atom_site_fract_x
_atom_site_fract_y
_atom_site_fract_z
_atom_site_occupancy
Ho1 Ho 0.0000 0.0000 0.1465 1
Cd1 Cd 0.0000 0.0000 0.3930 1
Cu1 Cu 0.0000 0.3075 0.5000 1
Cu2 Cu 0.0000 0.5000 0.0000 1
Cu3 Cu 0.0082 0.5041 0.6545 1
```

The value obtained for the formation energy from the elements is -0.103 eV/atom. The total energy comes out at -74.38 eV per formula unit. The calculation puts the total moment at 0.000 μB per atom.

Computed, not measured: a relaxed Ho8CdCu2 crystal at the PBE-GGA level of DFT.

Structure (CIF):
```
data_Ho8CdCu2
_chemical_formula_sum 'Ho16 Cd2 Cu4'
_cell_length_a 8.589
_cell_length_b 13.526
_cell_length_c 5.374
_cell_angle_alpha 90.00
_cell_angle_beta 106.42
_cell_angle_gamma 90.00
_symmetry_space_group_name_H-M 'C 1 2/m 1'
_symmetry_Int_Tables_number 12
_symmetry_space_group_name_Hall '-C 2y'
loop_
_atom_site_label
_atom_site_type_symbol
_atom_site_fract_x
_atom_site_fract_y
_atom_site_fract_z
_atom_site_occupancy
Ho1 Ho 0.000 0.239 0.000 1
Ho2 Ho 0.108 0.500 0.805 1
Ho3 Ho 0.208 0.125 0.590 1
Cd1 Cd 0.000 0.000 0.000 1
Cu1 Cu 0.000 0.306 0.500 1
```

The value obtained for the formation energy from the elements is -0.025 eV/atom. The total energy comes out at -46.00 eV per formula unit. The calculation puts the total moment at 0.001 μB per atom.

Computed, not measured: a relaxed Ho5Cd2Cu2 crystal at the PBE-GGA level of DFT.

Structure (CIF):
```
data_Ho5Cd2Cu2
_chemical_formula_sum 'Ho20 Cd8 Cu8'
_cell_length_a 17.576
_cell_length_b 7.154
_cell_length_c 7.155
_cell_angle_alpha 90.00
_cell_angle_beta 90.00
_cell_angle_gamma 90.00
_symmetry_space_group_name_H-M 'C m c e'
_symmetry_Int_Tables_number 64
_symmetry_space_group_name_Hall '-C 2ac 2'
loop_
_atom_site_label
_atom_site_type_symbol
_atom_site_fract_x
_atom_site_fract_y
_atom_site_fract_z
_atom_site_occupancy
Ho1 Ho 0.000 0.000 0.000 1
Ho2 Ho 0.126 0.184 0.320 1
Cd1 Cd 0.229 0.000 0.000 1
Cu1 Cu 0.000 0.122 0.622 1
```

The value obtained for the formation energy from the elements is -0.186 eV/atom. The total energy comes out at -34.59 eV per formula unit. The calculation puts the total moment at 0.000 μB per atom.

- total moment of number 6 (Ho5Cd2Cu2)?
  0.000 μB per atom

- The lowest formation energy from the elements belongs to which entry?
  Ho3CdCu8

- Which value of total moment does entry 3 give?
  0.000 μB per atom